Material: GaCoHSe2
Method: DFT, GGA-PBE
State: optimized geometry

CIF file:
```
data_GaCoHSe2
_cell_length_a 4.782
_cell_length_b 3.288
_cell_length_c 4.782
_cell_angle_alpha 90.00
_cell_angle_beta 90.00
_cell_angle_gamma 90.00
_symmetry_space_group_name_H-M 'P 1'
_symmetry_Int_Tables_number 1
loop_
_symmetry_equiv_pos_as_xyz
'x,y,z'
loop_
_atom_site_label
_atom_site_fract_x
_atom_site_fract_y
_atom_site_fract_z
H1 0.000 0.500 0.000
Co1 0.000 0.000 0.000
Ga1 0.500 0.500 0.500
Se1 0.000 0.000 0.500
Se2 0.500 0.000 0.000
```

* final energy: -20.33 eV for the cell shown
* SG: P4/mmm, No. 123